Entry 1:
Computed, not measured: a geometry-optimized Fe2Pt2W structure at the PBE level of DFT.

Geometry as CIF:
```
data_Fe2Pt2W
_cell_length_a 9.3997
_cell_length_b 4.3915
_cell_length_c 7.2570
_cell_angle_alpha 90.00
_cell_angle_beta 108.83
_cell_angle_gamma 90.00
_space_group_name_H-M_alt 'C 1 2/m 1'
_space_group_IT_number 12
_space_group_name_Hall '-C 2y'
loop_
_atom_site_label
_atom_site_type_symbol
_atom_site_fract_x
_atom_site_fract_y
_atom_site_fract_z
_atom_site_occupancy
Fe1 Fe 0.0387 0.0000 0.3531 1
Fe2 Fe 0.1363 0.0000 0.0785 1
Pt1 Pt 0.0619 0.5000 0.8525 1
Pt2 Pt 0.1661 0.5000 0.5361 1
W1 W 0.2413 0.0000 0.7819 1
```

Entry 2:
Computed, not measured: a geometry-optimized TbPm3Y structure at the PBE level of DFT.

Geometry as CIF:
```
data_TbPm3Y
_cell_length_a 22.3191
_cell_length_b 3.6704
_cell_length_c 8.6102
_cell_angle_alpha 90.00
_cell_angle_beta 106.16
_cell_angle_gamma 90.00
_space_group_name_H-M_alt 'C 1 2/m 1'
_space_group_IT_number 12
_space_group_name_Hall '-C 2y'
loop_
_atom_site_label
_atom_site_type_symbol
_atom_site_fract_x
_atom_site_fract_y
_atom_site_fract_z
_atom_site_occupancy
Tb1 Tb 0.2171 0.0000 0.3166 1
Pm1 Pm 0.0172 0.0000 0.7210 1
Pm2 Pm 0.1169 0.5000 0.5144 1
Pm3 Pm 0.1840 0.0000 0.8819 1
Y1 Y 0.0839 0.5000 0.0860 1
```

Distance to the lowest polymorph of the same formula = 0.043 eV per formula unit

Entry 3:
Computed, not measured: a geometry-optimized CdSi2Au structure at the PBE level of DFT.

Geometry as CIF:
```
data_CdSi2Au
_cell_length_a 6.4537
_cell_length_b 3.7236
_cell_length_c 6.8299
_cell_angle_alpha 90.00
_cell_angle_beta 106.91
_cell_angle_gamma 90.00
_space_group_name_H-M_alt 'C 1 m 1'
_space_group_IT_number 8
_space_group_name_Hall 'C -2y'
loop_
_atom_site_label
_atom_site_type_symbol
_atom_site_fract_x
_atom_site_fract_y
_atom_site_fract_z
_atom_site_occupancy
Cd1 Cd 0.0000 0.0000 0.0000 1
Si1 Si 0.0070 0.5000 0.5317 1
Si2 Si 0.2227 0.0000 0.6917 1
Au1 Au 0.2624 0.5000 0.2934 1
```

Uncorrected formation energy = 3.869 kcal/mol of atoms

Entry 4:
Computed, not measured: a geometry-optimized BeSb2Au structure at the PBE level of DFT.

Geometry as CIF:
```
data_BeSb2Au
_cell_length_a 3.9672
_cell_length_b 3.9672
_cell_length_c 11.0140
_cell_angle_alpha 90.00
_cell_angle_beta 90.00
_cell_angle_gamma 90.00
_space_group_name_H-M_alt 'I -4 m 2'
_space_group_IT_number 119
_space_group_name_Hall 'I -4 -2'
loop_
_atom_site_label
_atom_site_type_symbol
_atom_site_fract_x
_atom_site_fract_y
_atom_site_fract_z
_atom_site_occupancy
Be1 Be 0.0000 0.0000 0.0000 1
Sb1 Sb 0.0000 0.0000 0.5000 1
Sb2 Sb 0.0000 0.5000 0.7500 1
Au1 Au 0.0000 0.5000 0.2500 1
```

Uncorrected formation energy = 10.334 kcal/mol of atoms

Record-wise M_tot values, in μB/f.u.: 4.422; 0.000; 0.000; 0.000
Record-wise energy values, in eV per atom: -8.4710; -5.0466; -3.5918; -3.3639